No. 1
Here is a PBEsol-optimized structure of KMo2W from Alexandria via LeMat-Bulk. Energies are from meta-GGA SCAN.

POSCAR file:
```
KMo2W
1.0
2.638 0.000 0.000
0.000 5.099 0.000
0.000 0.000 5.251
Mo K W
2 1 1
Direct
0.000 0.000 0.000
0.500 0.000 0.500
0.000 0.500 0.500
0.500 0.500 0.000
```

## Properties
crystal system: orthorhombic
energy relative to the elements: 1.834 eV/atom

No. 2
Here is a PBEsol-optimized structure of TlSb3S5 from Alexandria via LeMat-Bulk. Energies are from meta-GGA SCAN.

POSCAR file:
```
TlSb3S5
1.0
-6.336 0.021 -2.896
5.907 -5.007 -4.350
-4.006 -12.262 8.676
S Sb Tl
20 12 4
Direct
0.984 0.264 0.343
0.931 0.619 0.234
0.740 0.489 0.451
0.016 0.736 0.657
0.516 0.236 0.843
0.260 0.511 0.549
0.431 0.119 0.266
0.893 0.669 0.872
0.760 0.011 0.951
0.622 0.392 0.061
0.107 0.331 0.128
0.484 0.764 0.157
0.069 0.381 0.766
0.122 0.892 0.439
0.569 0.881 0.734
0.393 0.169 0.628
0.240 0.989 0.049
0.607 0.831 0.372
0.378 0.608 0.939
0.878 0.108 0.561
0.585 0.078 0.124
0.369 0.889 0.596
0.631 0.111 0.404
0.915 0.422 0.624
0.225 0.223 0.491
0.085 0.578 0.376
0.415 0.922 0.876
0.869 0.389 0.904
0.275 0.277 0.991
0.775 0.777 0.509
0.131 0.611 0.096
0.725 0.723 0.009
0.030 0.036 0.767
0.530 0.536 0.733
0.970 0.964 0.233
0.470 0.464 0.267
```

## Properties
crystal system: monoclinic
formation energy without anion corrections: -258 kJ/mol of formula units

No. 3
Here is a PBEsol-optimized structure of Li2OsW from Alexandria via LeMat-Bulk. Energies are from meta-GGA SCAN.

POSCAR file:
```
Li2OsW
1.0
-0.924 2.219 0.786
-2.899 0.003 -3.416
-3.363 -2.412 2.853
Os Li W
1 2 1
Direct
0.500 0.500 0.000
0.000 0.000 0.761
0.000 0.000 0.239
0.500 0.500 0.500
```

## Properties
crystal system: orthorhombic
energy relative to the elements: 0.389 eV/atom
E above lowest polymorph: 115.7 meV/atom

No. 4
Here is a PBEsol-optimized structure of Tl2ZnAu from Alexandria via LeMat-Bulk. Energies are from meta-GGA SCAN.

POSCAR file:
```
Tl2ZnAu
1.0
-2.134 2.813 -0.151
-2.451 -2.042 -3.408
-1.941 -1.185 5.380
Zn Tl Au
1 2 1
Direct
0.500 0.500 0.000
0.000 0.000 0.000
0.500 0.500 0.500
0.000 0.000 0.500
```

## Properties
crystal system: monoclinic
energy relative to the elements: 0.158 eV/atom

No. 5
Here is a PBEsol-optimized structure of CdSb2Rh from Alexandria via LeMat-Bulk. Energies are from meta-GGA SCAN.

POSCAR file:
```
CdSb2Rh
1.0
3.207 0.000 0.000
0.000 3.207 0.000
0.000 0.000 8.220
Sb Cd Rh
2 1 1
Direct
0.000 0.000 0.701
0.000 0.000 0.299
0.500 0.500 0.000
0.500 0.500 0.500
```

## Properties
crystal system: tetragonal
formation energy without anion corrections: -39 kJ/mol of formula units

No. 6
Here is a PBEsol-optimized structure of Zn2CdSb from Alexandria via LeMat-Bulk. Energies are from meta-GGA SCAN.

POSCAR file:
```
Zn2CdSb
1.0
4.305 0.000 0.040
0.000 4.436 0.000
-0.779 0.000 4.323
Sb Zn Cd
1 2 1
Direct
0.231 0.500 0.790
0.797 0.500 0.237
0.947 0.000 0.019
0.525 0.000 0.454
```

## Properties
crystal system: monoclinic
formation energy without anion corrections: 50 kJ/mol of formula units
E above lowest polymorph: 0.0 meV/atom

No. 7
Here is a PBEsol-optimized structure of LiZrAu3 from Alexandria via LeMat-Bulk. Energies are from meta-GGA SCAN.

POSCAR file:
```
LiZrAu3
1.0
5.175 0.000 0.000
0.000 5.175 0.000
0.000 0.000 5.175
Li Au Zr
1 3 1
Direct
0.500 0.500 0.500
0.000 0.500 0.000
0.000 0.000 0.500
0.500 0.000 0.000
0.000 0.000 0.000
```

## Properties
crystal system: cubic
energy relative to the elements: 0.225 eV/atom
E above lowest polymorph: 371.8 meV/atom

No. 8
Here is a PBEsol-optimized structure of TeAuSe2 from Alexandria via LeMat-Bulk. Energies are from meta-GGA SCAN.

POSCAR file:
```
TeAuSe2
1.0
-0.499 -2.820 2.752
4.842 -0.124 0.751
-2.091 3.280 2.983
Se Te Au
2 1 1
Direct
0.000 0.028 0.972
0.500 0.747 0.253
0.000 0.482 0.518
0.500 0.244 0.756
```

## Properties
crystal system: orthorhombic
formation energy without anion corrections: -1 kJ/mol of formula units
E above lowest polymorph: 0.0 meV/atom

No. 9
Here is a PBEsol-optimized structure of HfRe2Tc2 from Alexandria via LeMat-Bulk. Energies are from meta-GGA SCAN.

POSCAR file:
```
HfRe2Tc2
1.0
4.576 0.000 0.000
0.000 4.576 0.000
0.000 0.000 4.669
Hf Tc Re
1 2 2
Direct
0.500 0.500 0.500
0.000 0.500 0.000
0.500 0.000 0.000
0.000 0.000 0.500
0.000 0.000 0.000
```

## Properties
crystal system: tetragonal
energy relative to the elements: 1.327 eV/atom

No. 10
Here is a PBEsol-optimized structure of MgAlSb2 from Alexandria via LeMat-Bulk. Energies are from meta-GGA SCAN.

POSCAR file:
```
MgAlSb2
1.0
-0.524 -0.186 -3.755
2.418 -3.267 -0.175
-5.883 -1.974 2.838
Al Sb Mg
1 2 1
Direct
0.535 0.535 0.069
0.967 0.967 0.935
0.205 0.705 0.409
0.793 0.293 0.587
```

## Properties
crystal system: orthorhombic
formation energy without anion corrections: 6 kJ/mol of formula units
E above lowest polymorph: 98.4 meV/atom

No. 11
Here is a PBEsol-optimized structure of As2Pb from Alexandria via LeMat-Bulk. Energies are from meta-GGA SCAN.

POSCAR file:
```
As2Pb
1.0
-3.336 0.373 -1.167
2.539 -1.138 -2.211
-1.300 -6.239 1.719
As Pb
2 1
Direct
0.333 0.667 0.390
0.667 0.333 0.610
0.000 0.000 0.000
```

## Properties
crystal system: trigonal
energy relative to the elements: 0.087 eV/atom
E above lowest polymorph: 43.3 meV/atom

No. 12
Here is a PBEsol-optimized structure of Be2P2I from Alexandria via LeMat-Bulk. Energies are from meta-GGA SCAN.

POSCAR file:
```
Be2P2I
1.0
-0.431 -0.298 3.255
6.709 -2.222 0.686
2.131 6.713 0.898
P Be I
4 4 2
Direct
0.500 0.884 0.384
0.500 0.116 0.616
0.500 0.616 0.884
0.500 0.384 0.116
0.000 0.889 0.611
0.000 0.111 0.389
0.000 0.611 0.111
0.000 0.389 0.889
0.000 0.500 0.500
0.000 0.000 0.000
```

## Properties
crystal system: tetragonal
formation energy without anion corrections: 269 kJ/mol of formula units

It is found that the uncorrected energy values, taken in the order of the records, are -35.11; -26.11; -36.20; -56.69; -34.78; -23.55; -47.89; -36.64; -53.67; -21.80; -38.63; -12.69 eV per atom.
It is found that the magnetic moment values, taken in the order of the records, are 0.0; 0.0; 0.0; 0.0; 0.0; 0.0; 0.8; 0.0; 0.0; 0.0; 0.0; 0.0 μB/f.u..